No. 1
Entry from the Alexandria database: crystalline Cs5Sr at its relaxed geometry (GGA-PBE).

Output
For the calculated total energy, the calculation gives -0.0329 hartree per atom. For the density, the calculation gives 2.10 Mg/m³. Its formation energy is 0.096 eV/atom.

Structure (POSCAR):
```
Cs5Sr
1.0
-0.421 5.812 -0.222
-6.978 -0.338 4.355
10.012 1.044 8.343
Cs Sr
5 1
direct
0.500 0.500 0.000
0.500 0.157 0.313
0.000 0.664 0.328
0.000 0.336 0.672
0.500 0.843 0.687
0.000 0.000 0.000
```



No. 2
Entry from the Alexandria database: crystalline CsSr at its relaxed geometry (GGA-PBE).

Output
For the calculated total energy, the calculation gives -0.0410 hartree per atom. For the density, the calculation gives 2.21 Mg/m³. Its formation energy is 0.153 eV/atom.

Structure (POSCAR):
```
CsSr
1.0
17.225 0.000 0.000
0.000 17.225 0.000
0.000 0.000 4.459
Sr Cs
8 8
direct
0.431 0.874 0.000
0.374 0.069 0.500
0.569 0.126 0.000
0.069 0.626 0.500
0.126 0.431 0.000
0.931 0.374 0.500
0.874 0.569 0.000
0.626 0.931 0.500
0.880 0.824 0.500
0.380 0.324 0.000
0.176 0.880 0.500
0.676 0.380 0.000
0.824 0.120 0.500
0.324 0.620 0.000
0.620 0.676 0.000
0.120 0.176 0.500
```



No. 3
Entry from the Alexandria database: crystalline CsSrTa2 at its relaxed geometry (GGA-PBE).

Output
For the calculated total energy, the calculation gives -0.1631 hartree per atom. The calculation puts the distance to the lowest polymorph of the same formula at 0.0 meV/atom. For the density, the calculation gives 8.00 Mg/m³. Its formation energy is 2.121 eV/atom.

Structure (POSCAR):
```
CsSrTa2
1.0
-4.754 -7.358 -2.663
7.332 -3.101 -4.523
2.150 -6.641 -1.229
Sr Ta Cs
2 4 2
direct
0.250 0.750 0.500
0.500 0.500 0.000
0.637 0.125 0.250
0.113 0.625 0.250
0.375 0.363 0.750
0.875 0.887 0.750
0.000 0.000 0.000
0.750 0.250 0.500
```



No. 4
Entry from the Alexandria database: crystalline CsSrTa at its relaxed geometry (GGA-PBE).

Output
For the calculated total energy, the calculation gives -0.1496 hartree per atom. The calculation puts the distance to the lowest polymorph of the same formula at 208.1 meV/atom. For the density, the calculation gives 4.27 Mg/m³. Its formation energy is 0.724 eV/atom.

Structure (POSCAR):
```
CsSrTa
1.0
-11.764 -1.761 8.452
1.015 -4.099 0.585
2.003 1.144 4.539
Cs Sr Ta
2 2 2
direct
0.653 0.755 0.671
0.347 0.245 0.329
0.114 0.749 0.944
0.886 0.251 0.056
0.051 0.249 0.475
0.949 0.751 0.525
```



No. 5
Entry from the Alexandria database: crystalline Cs2SrTa at its relaxed geometry (GGA-PBE).

Output
For the calculated total energy, the calculation gives -0.0862 hartree per atom. The calculation puts the distance to the lowest polymorph of the same formula at 0.0 meV/atom. For the density, the calculation gives 4.45 Mg/m³. Its formation energy is 1.466 eV/atom.

Structure (POSCAR):
```
Cs2SrTa
1.0
-8.551 9.583 7.353
-13.343 4.755 4.285
11.160 -9.315 -2.774
Ta Cs Sr
2 4 2
direct
0.000 0.000 0.000
0.750 0.250 0.500
0.875 0.886 0.511
0.114 0.625 0.989
0.636 0.125 0.011
0.375 0.364 0.489
0.500 0.500 0.000
0.250 0.750 0.500
```



No. 6
Entry from the Alexandria database: crystalline Cs2SrTa at its relaxed geometry (GGA-PBE).

Output
For the calculated total energy, the calculation gives -0.0841 hartree per atom. The calculation puts the distance to the lowest polymorph of the same formula at 55.7 meV/atom. For the density, the calculation gives 4.26 Mg/m³. Its formation energy is 1.521 eV/atom.

Structure (POSCAR):
```
Cs2SrTa
1.0
-4.382 -3.694 -3.379
-6.494 1.410 0.329
-3.122 2.553 -5.291
Sr Cs Ta
1 2 1
direct
0.000 0.000 0.000
0.250 0.250 0.250
0.750 0.750 0.750
0.500 0.500 0.500
```



No. 7
Entry from the Alexandria database: crystalline CsSrTa at its relaxed geometry (GGA-PBE).

Output
For the calculated total energy, the calculation gives -0.1572 hartree per atom. The calculation puts the distance to the lowest polymorph of the same formula at 1.4 meV/atom. For the density, the calculation gives 5.16 Mg/m³. Its formation energy is 0.517 eV/atom.

Structure (POSCAR):
```
CsSrTa
1.0
3.739 0.000 0.004
0.000 3.751 0.000
-1.815 0.000 18.404
Sr Cs Ta
2 2 2
direct
0.823 0.308 0.153
0.177 0.808 0.847
0.413 0.812 0.378
0.587 0.312 0.622
0.263 0.808 0.027
0.737 0.308 0.973
```



No. 8
Entry from the Alexandria database: crystalline CsSrTa at its relaxed geometry (GGA-PBE).

Output
For the calculated total energy, the calculation gives -0.1573 hartree per atom. The calculation puts the distance to the lowest polymorph of the same formula at 0.0 meV/atom. For the density, the calculation gives 5.18 Mg/m³. Its formation energy is 0.516 eV/atom.

Structure (POSCAR):
```
CsSrTa
1.0
18.536 -0.706 0.695
-0.225 3.733 0.005
0.190 0.006 3.736
Ta Cs Sr
2 2 2
direct
0.858 0.532 0.103
0.912 0.058 0.579
0.265 0.232 0.427
0.505 0.349 0.255
0.732 0.970 0.659
0.038 0.620 0.024
```